GGA-PBE Te2IrC4, optimized geometry; density of states at the Fermi level = 4.3 states/eV/f.u.; energy relative to the elements, uncorrected = 2.024 eV per atom; total magnetization = 0.00 μB per formula unit; crystal system = tetragonal; total energy = -5.410 eV/atom
1.0
-1.2101 1.4497 3.4001
0.5593 -3.4647 1.6763
5.9932 0.7400 4.0419
Ir C Te
1 4 2
direct
0.0000 0.0000 0.0000
0.5000 0.0000 0.0000
0.8340 0.8340 0.3321
0.0000 0.5000 0.0000
0.1660 0.1660 0.6679
0.3266 0.3266 0.3468
0.6734 0.6734 0.6532



GGA-PBE TeIr2C, optimized geometry; density of states at the Fermi level = 4.9 states/eV/f.u.; energy relative to the elements, uncorrected = 1.509 eV per atom; total magnetization = 0.00 μB per formula unit; energy above the lowest structure with this stoichiometry = 1096 meV/atom; crystal system = cubic; total energy = -6.013 eV/atom
1.0
4.1762 1.2307 0.5734
0.9138 3.8068 1.9893
1.7536 0.0080 4.0260
Ir Te C
2 1 1
direct
0.2500 0.2500 0.2500
0.7500 0.7500 0.7500
0.5000 0.5000 0.5000
0.0000 0.0000 0.0000



GGA-PBE Te3IrC, optimized geometry; density of states at the Fermi level = 4.1 states/eV/f.u.; energy relative to the elements, uncorrected = 1.348 eV per atom; total magnetization = 0.00 μB per formula unit; energy above the lowest structure with this stoichiometry = 0 meV/atom; crystal system = cubic; total energy = -4.154 eV/atom
1.0
4.6377 0.0000 0.0000
0.0000 4.6377 0.0000
0.0000 0.0000 4.6377
Te C Ir
3 1 1
direct
0.5000 0.0000 0.0000
0.0000 0.0000 0.5000
0.0000 0.5000 0.0000
0.0000 0.0000 0.0000
0.5000 0.5000 0.5000



GGA-PBE TeIr2C, optimized geometry; density of states at the Fermi level = 2.0 states/eV/f.u.; energy relative to the elements, uncorrected = 0.413 eV per atom; total magnetization = 0.00 μB per formula unit; energy above the lowest structure with this stoichiometry = 0 meV/atom; crystal system = tetragonal; total energy = -7.109 eV/atom
1.0
5.0752 0.0000 0.0000
0.0000 5.0752 0.0000
2.5376 2.5376 5.5186
Te C Ir
2 2 4
direct
0.0000 0.0000 0.0000
0.7500 0.2500 0.5000
0.5000 0.5000 0.0000
0.2500 0.7500 0.5000
0.8750 0.7709 0.7500
0.5209 0.1250 0.2500
0.2291 0.6250 0.2500
0.3750 0.4791 0.7500



GGA-PBE TeIrC3, optimized geometry; density of states at the Fermi level = 3.7 states/eV/f.u.; energy relative to the elements, uncorrected = 3.275 eV per atom; total magnetization = 0.00 μB per formula unit; energy above the lowest structure with this stoichiometry = 1173 meV/atom; crystal system = cubic; total energy = -4.660 eV/atom
1.0
-0.7050 -3.9036 0.9833
3.5555 -0.1358 2.0103
-1.8875 1.2023 3.4196
C Te Ir
3 1 1
direct
0.5000 0.0000 0.0000
0.0000 0.5000 0.0000
0.0000 0.0000 0.5000
0.0000 0.0000 0.0000
0.5000 0.5000 0.5000



GGA-PBE TeIrC3, optimized geometry; density of states at the Fermi level = 2.8 states/eV/f.u.; energy relative to the elements, uncorrected = 2.102 eV per atom; total magnetization = 0.00 μB per formula unit; energy above the lowest structure with this stoichiometry = 0 meV/atom; crystal system = cubic; total energy = -5.833 eV/atom
1.0
4.0852 0.0000 0.0000
0.0000 4.0852 0.0000
0.0000 0.0000 4.0852
C Te Ir
3 1 1
direct
0.0000 0.5000 0.0000
0.5000 0.0000 0.0000
0.0000 0.0000 0.5000
0.5000 0.5000 0.5000
0.0000 0.0000 0.0000



GGA-PBE Th8Te4IrC3, optimized geometry; density of states at the Fermi level = 8.8 states/eV/f.u.; energy relative to the elements, uncorrected = -0.830 eV per atom; total magnetization = 0.00 μB per formula unit; crystal system = trigonal; total energy = -7.609 eV/atom
1.0
-2.5330 0.4095 7.6454
8.2846 -0.5211 2.7726
-1.8213 5.9120 -5.1733
C Te Th Ir
3 4 8 1
direct
0.0000 0.5000 0.5000
0.5000 0.5000 0.5000
0.5000 0.5000 0.0000
0.5000 0.0000 0.5000
0.0000 0.0000 0.5000
0.5000 0.0000 0.0000
0.0000 0.0000 0.0000
0.7124 0.6913 0.9518
0.2710 0.3131 0.5421
0.7290 0.6869 0.4579
0.2876 0.3087 0.0482
0.2394 0.6913 0.4789
0.7606 0.3087 0.0482
0.7606 0.3087 0.5211
0.2394 0.6913 0.9518
0.0000 0.5000 0.0000



GGA-PBE Th4Te2IrC, optimized geometry; density of states at the Fermi level = 6.5 states/eV/f.u.; energy relative to the elements, uncorrected = -0.887 eV per atom; total magnetization = 0.00 μB per formula unit; crystal system = monoclinic; total energy = -7.643 eV/atom
1.0
-1.8511 -3.1576 1.6680
0.2778 -3.5176 -6.3506
6.5345 -1.7398 3.9584
Th C Te Ir
4 1 2 1
direct
0.5000 0.7577 0.8013
0.0000 0.7097 0.1934
0.5000 0.2423 0.1987
0.0000 0.2903 0.8066
0.5000 0.5000 0.0000
0.0000 0.5000 0.5000
0.5000 0.0000 0.5000
0.0000 0.0000 0.0000



GGA-PBE YTeIr2C, optimized geometry; density of states at the Fermi level = 6.3 states/eV/f.u.; energy relative to the elements, uncorrected = 2.022 eV per atom; total magnetization = 0.00 μB per formula unit; crystal system = tetragonal; total energy = -5.288 eV/atom
1.0
-1.5433 -4.3154 2.2735
0.7580 -2.1996 -3.6607
4.7950 -0.9052 1.5369
C Y Ir Te
1 1 2 1
direct
0.0000 0.5000 0.0000
0.0000 0.0000 0.0000
0.0000 0.0000 0.5000
0.5000 0.0000 0.0000
0.5000 0.5000 0.5000



GGA-PBE Th2IrC, optimized geometry; density of states at the Fermi level = 1.7 states/eV/f.u.; total magnetization = 0.00 μB per formula unit; energy above the lowest structure with this stoichiometry = 0 meV/atom; crystal system = trigonal; total energy = -8.734 eV/atom; formation enthalpy at 0 K = -0.50 eV/atom
1.0
3.8679 0.0000 0.0000
1.9339 3.3497 0.0000
1.9339 1.1166 6.7634
C Th Ir
1 2 1
direct
0.5000 0.5000 0.5000
0.7587 0.7587 0.7239
0.2413 0.2413 0.2761
0.0000 0.0000 0.0000



GGA-PBE Th2IrC, optimized geometry; density of states at the Fermi level = 1.6 states/eV/f.u.; total magnetization = 0.00 μB per formula unit; energy above the lowest structure with this stoichiometry = 6 meV/atom; crystal system = monoclinic; total energy = -8.728 eV/atom; formation enthalpy at 0 K = -0.50 eV/atom
1.0
5.6135 0.0000 0.0000
0.0000 5.8601 -0.0301
0.0000 -0.9181 10.8363
Th Ir C
8 4 4
direct
0.7630 0.4835 0.1439
0.7508 0.5373 0.6045
0.2370 0.5165 0.8561
0.2370 0.9835 0.6439
0.7508 0.9627 0.8955
0.2492 0.4627 0.3955
0.2492 0.0373 0.1045
0.7630 0.0165 0.3561
0.2617 0.9530 0.3573
0.2617 0.5470 0.1427
0.7383 0.4530 0.8573
0.7383 0.0470 0.6427
0.2217 0.9373 0.8798
0.7783 0.4373 0.3798
0.2217 0.5627 0.6202
0.7783 0.0627 0.1202



GGA-PBE Th6Ir2C, optimized geometry; density of states at the Fermi level = 10.0 states/eV/f.u.; total magnetization = 0.00 μB per formula unit; crystal system = monoclinic; total energy = -8.478 eV/atom; formation enthalpy at 0 K = -0.54 eV/atom
1.0
6.5114 0.0000 0.0516
0.0000 7.2137 0.0000
0.4023 0.0000 10.1433
C Th Ir
2 12 4
direct
0.5000 0.5000 0.0000
0.0000 0.0000 0.5000
0.1770 0.3223 0.9391
0.6572 0.1850 0.0642
0.8428 0.6850 0.4358
0.8520 0.9615 0.7406
0.3520 0.5385 0.2406
0.1572 0.3150 0.5642
0.6480 0.4615 0.7594
0.8230 0.6777 0.0609
0.3428 0.8150 0.9358
0.1480 0.0385 0.2594
0.3230 0.8223 0.5609
0.6770 0.1777 0.4391
0.5719 0.8820 0.2617
0.4281 0.1180 0.7383
0.0719 0.6180 0.7617
0.9281 0.3820 0.2383



GGA-PBE Th6IrC4, optimized geometry; density of states at the Fermi level = 8.5 states/eV/f.u.; total magnetization = 0.00 μB per formula unit; crystal system = orthorhombic; total energy = -8.628 eV/atom; formation enthalpy at 0 K = -0.42 eV/atom
1.0
-3.2515 0.4218 1.9329
-1.6207 -1.4540 -6.1564
0.1756 -19.0124 4.4440
C Th Ir
8 12 2
direct
0.5850 0.1700 0.6263
0.8578 0.7156 0.9596
0.1422 0.2844 0.4596
0.8578 0.7156 0.5404
0.1422 0.2844 0.0404
0.4150 0.8300 0.3737
0.5850 0.1700 0.8737
0.4150 0.8300 0.1263
0.7777 0.5555 0.0799
0.9514 0.9027 0.8447
0.2223 0.4445 0.9201
0.9514 0.9027 0.6553
0.2223 0.4445 0.5799
0.5000 0.0000 0.0000
0.0486 0.0973 0.3447
0.7777 0.5555 0.4201
0.3402 0.6803 0.2500
0.5000 0.0000 0.5000
0.6598 0.3197 0.7500
0.0486 0.0973 0.1553
0.6673 0.3346 0.2500
0.3327 0.6654 0.7500